1.
Crystalline Mn3Ir12Os at its relaxed geometry. Source: Alexandria, functional PBE.

a = 3.836 Å, b = 3.836 Å, c = 15.386 Å
α = 90.00°, β = 90.00°, γ = 90.00°
Atoms (fractional coordinates):
Mn  0.000  0.000  0.000
Mn  0.000  0.000  0.245
Mn  0.000  0.000  0.755
Ir  0.000  0.500  0.124
Ir  0.000  0.500  0.375
Ir  0.000  0.500  0.625
Ir  0.000  0.500  0.876
Ir  0.500  0.000  0.124
Ir  0.500  0.000  0.375
Ir  0.500  0.000  0.625
Ir  0.500  0.000  0.876
Ir  0.500  0.500  0.000
Ir  0.500  0.500  0.249
Ir  0.500  0.500  0.500
Ir  0.500  0.500  0.751
Os  0.000  0.000  0.500

Computed properties:
The volume is 14.148 Å³/atom. As for the crystal system: tetragonal. The value obtained for the final energy is -9.19 eV per atom. The density of states at the Fermi level comes out at 0.903 states/eV/atom. The space-group type is P4/mmm, No. 123. The value obtained for the total magnetization is 7.10 μB per formula unit.

---

2.
Crystalline MnAl2Co at its relaxed geometry. Source: Alexandria, functional PBE.

a = 8.316 Å, b = 8.316 Å, c = 8.316 Å
α = 18.75°, β = 18.75°, γ = 18.75°
Atoms (fractional coordinates):
Mn  0.000  0.000  0.000
Al  0.512  0.512  0.512
Al  0.750  0.750  0.750
Co  0.258  0.258  0.258

Computed properties:
The volume is 12.982 Å³/atom. As for the crystal system: trigonal. The value obtained for the final energy is -5.97 eV per atom. The density of states at the Fermi level comes out at 1.021 states/eV/atom. The space-group type is R3m, No. 160. The value obtained for the total magnetization is 1.96 μB per formula unit.

---

3.
Crystalline K2TiNb at its relaxed geometry. Source: Alexandria, functional PBE.

a = 5.824 Å, b = 5.824 Å, c = 5.824 Å
α = 60.00°, β = 60.00°, γ = 60.00°
Atoms (fractional coordinates):
K  0.250  0.250  0.250
K  0.750  0.750  0.750
Ti  0.000  0.000  0.000
Nb  0.500  0.500  0.500

Computed properties:
The volume is 34.926 Å³/atom. As for the crystal system: cubic. The value obtained for the final energy is -3.08 eV per atom. The density of states at the Fermi level comes out at 1.648 states/eV/atom. The space-group type is Fm-3m, No. 225. The value obtained for the total magnetization is 5.14 μB per formula unit.

---

4.
Crystalline MnMo3Ru at its relaxed geometry. Source: Alexandria, functional PBE.

a = 4.394 Å, b = 4.394 Å, c = 4.394 Å
α = 90.00°, β = 90.00°, γ = 90.00°
Atoms (fractional coordinates):
Mn  0.000  0.000  0.000
Mo  0.000  0.000  0.500
Mo  0.000  0.500  0.000
Mo  0.500  0.000  0.000
Ru  0.500  0.500  0.500

Computed properties:
The volume is 16.969 Å³/atom. As for the crystal system: cubic. The value obtained for the final energy is -8.99 eV per atom. The density of states at the Fermi level comes out at 1.210 states/eV/atom. The space-group type is Pm-3m, No. 221. The value obtained for the total magnetization is 0.00 μB per formula unit.

---

5.
Crystalline SrCrGe2 at its relaxed geometry. Source: Alexandria, functional PBE.

a = 6.281 Å, b = 6.281 Å, c = 6.281 Å
α = 39.42°, β = 39.42°, γ = 39.42°
Atoms (fractional coordinates):
Sr  0.000  0.000  0.000
Cr  0.500  0.500  0.500
Ge  0.214  0.214  0.214
Ge  0.786  0.786  0.786

Computed properties:
The volume is 22.477 Å³/atom. As for the crystal system: trigonal. The value obtained for the final energy is -5.30 eV per atom. The density of states at the Fermi level comes out at 1.028 states/eV/atom. The space-group type is R-3m, No. 166. The value obtained for the total magnetization is 3.00 μB per formula unit.

---

6.
Crystalline ZnBi6P2O14F2 at its relaxed geometry. Source: Alexandria, functional PBE.

a = 8.923 Å, b = 8.923 Å, c = 17.032 Å
α = 110.57°, β = 110.57°, γ = 36.92°
Atoms (fractional coordinates):
Zn  0.000  0.000  0.000
Zn  0.000  0.000  0.500
Bi  0.088  0.138  0.826
Bi  0.138  0.088  0.326
Bi  0.192  0.208  0.165
Bi  0.208  0.192  0.665
Bi  0.413  0.471  0.828
Bi  0.471  0.413  0.328
Bi  0.529  0.587  0.672
Bi  0.587  0.529  0.172
Bi  0.792  0.808  0.335
Bi  0.808  0.792  0.835
Bi  0.862  0.912  0.674
Bi  0.912  0.862  0.174
P  0.336  0.368  0.992
P  0.368  0.336  0.492
P  0.632  0.664  0.508
P  0.664  0.632  0.008
O  0.050  0.831  0.892
O  0.072  0.588  0.742
O  0.087  0.579  0.248
O  0.141  0.414  0.924
O  0.169  0.950  0.608
O  0.207  0.574  0.457
O  0.236  0.598  0.055
O  0.246  0.754  0.250
O  0.252  0.748  0.750
O  0.402  0.764  0.445
O  0.412  0.928  0.758
O  0.414  0.141  0.424
O  0.421  0.913  0.252
O  0.426  0.793  0.043
O  0.574  0.207  0.957
O  0.579  0.087  0.748
O  0.586  0.859  0.576
O  0.588  0.072  0.242
O  0.598  0.236  0.555
O  0.748  0.252  0.250
O  0.754  0.246  0.750
O  0.764  0.402  0.945
O  0.793  0.426  0.543
O  0.831  0.050  0.392
O  0.859  0.586  0.076
O  0.913  0.421  0.752
O  0.928  0.412  0.258
O  0.950  0.169  0.108
F  0.193  0.431  0.553
F  0.431  0.193  0.053
F  0.569  0.807  0.947
F  0.807  0.569  0.447

Computed properties:
The volume is 15.135 Å³/atom. As for the crystal system: monoclinic. The value obtained for the final energy is -6.01 eV per atom. The density of states at the Fermi level comes out at 0.000 states/eV/atom. The space-group type is C2/c, No. 15. The value obtained for the total magnetization is 0.00 μB per formula unit.

---

7.
Crystalline TlNiTeN2 at its relaxed geometry. Source: Alexandria, functional PBE.

a = 4.059 Å, b = 4.059 Å, c = 5.411 Å
α = 90.00°, β = 90.00°, γ = 90.00°
Atoms (fractional coordinates):
Tl  0.000  0.000  0.000
Ni  0.500  0.500  0.500
Te  0.500  0.500  0.000
N  0.000  0.500  0.500
N  0.500  0.000  0.500

Computed properties:
The volume is 17.834 Å³/atom. As for the crystal system: tetragonal. The value obtained for the final energy is -4.31 eV per atom. The density of states at the Fermi level comes out at 0.623 states/eV/atom. The space-group type is P4/mmm, No. 123. The value obtained for the total magnetization is 3.45 μB per formula unit.

---

8.
Crystalline CsK2WCl8 at its relaxed geometry. Source: Alexandria, functional PBE.

a = 5.497 Å, b = 8.302 Å, c = 9.559 Å
α = 73.70°, β = 75.35°, γ = 73.38°
Atoms (fractional coordinates):
Cs  0.000  0.000  0.000
K  0.176  0.468  0.204
K  0.824  0.532  0.796
W  0.000  0.000  0.500
Cl  0.108  0.226  0.560
Cl  0.253  0.789  0.663
Cl  0.346  0.989  0.305
Cl  0.364  0.326  0.923
Cl  0.636  0.674  0.077
Cl  0.654  0.011  0.695
Cl  0.747  0.211  0.337
Cl  0.892  0.774  0.440

Computed properties:
The volume is 32.844 Å³/atom. As for the crystal system: triclinic. The value obtained for the final energy is -3.94 eV per atom. The density of states at the Fermi level comes out at 0.422 states/eV/atom. The space-group type is P-1, No. 2. The value obtained for the total magnetization is 1.00 μB per formula unit.

---

9.
Crystalline Y2FeMo at its relaxed geometry. Source: Alexandria, functional PBE.

a = 4.674 Å, b = 3.664 Å, c = 5.814 Å
α = 90.00°, β = 113.62°, γ = 90.00°
Atoms (fractional coordinates):
Y  0.000  0.000  0.000
Y  0.291  0.500  0.582
Fe  0.717  0.000  0.435
Mo  0.596  0.500  0.192

Computed properties:
The volume is 22.804 Å³/atom. As for the crystal system: monoclinic. The value obtained for the final energy is -7.90 eV per atom. The density of states at the Fermi level comes out at 1.184 states/eV/atom. The space-group type is Pm, No. 6. The value obtained for the total magnetization is 0.00 μB per formula unit.

---

10.
Crystalline GaAsWSe2 at its relaxed geometry. Source: Alexandria, functional PBE.

a = 5.005 Å, b = 5.005 Å, c = 4.920 Å
α = 90.00°, β = 90.00°, γ = 90.00°
Atoms (fractional coordinates):
Ga  0.000  0.000  0.000
As  0.500  0.500  0.000
W  0.500  0.500  0.500
Se  0.000  0.500  0.500
Se  0.500  0.000  0.500

Computed properties:
The volume is 24.645 Å³/atom. As for the crystal system: tetragonal. The value obtained for the final energy is -5.25 eV per atom. The density of states at the Fermi level comes out at 0.733 states/eV/atom. The space-group type is P4/mmm, No. 123. The value obtained for the total magnetization is 0.00 μB per formula unit.

---

11.
Crystalline AlFeMoI2 at its relaxed geometry. Source: Alexandria, functional PBE.

a = 5.472 Å, b = 5.472 Å, c = 5.062 Å
α = 90.00°, β = 90.00°, γ = 90.00°
Atoms (fractional coordinates):
Al  0.000  0.000  0.000
Fe  0.500  0.500  0.000
Mo  0.000  0.000  0.500
I  0.000  0.500  0.500
I  0.500  0.000  0.500

Computed properties:
The volume is 30.313 Å³/atom. As for the crystal system: tetragonal. The value obtained for the final energy is -4.02 eV per atom. The density of states at the Fermi level comes out at 1.400 states/eV/atom. The space-group type is P4/mmm, No. 123. The value obtained for the total magnetization is 5.78 μB per formula unit.

---

12.
Crystalline CaTm5Rh4 at its relaxed geometry. Source: Alexandria, functional PBE.

a = 3.356 Å, b = 3.356 Å, c = 20.017 Å
α = 90.00°, β = 90.00°, γ = 90.00°
Atoms (fractional coordinates):
Ca  0.000  0.000  0.000
Tm  0.500  0.500  0.158
Tm  0.500  0.500  0.328
Tm  0.500  0.500  0.500
Tm  0.500  0.500  0.672
Tm  0.500  0.500  0.842
Rh  0.000  0.000  0.239
Rh  0.000  0.000  0.414
Rh  0.000  0.000  0.586
Rh  0.000  0.000  0.761

Computed properties:
The volume is 22.548 Å³/atom. As for the crystal system: tetragonal. The value obtained for the final energy is -6.13 eV per atom. The density of states at the Fermi level comes out at 0.793 states/eV/atom. The space-group type is P4/mmm, No. 123. The value obtained for the total magnetization is 0.00 μB per formula unit.

---

13.
Crystalline RbCrS2 at its relaxed geometry. Source: Alexandria, functional PBE.

a = 8.330 Å, b = 8.330 Å, c = 4.345 Å
α = 102.66°, β = 102.66°, γ = 50.21°
Atoms (fractional coordinates):
Rb  0.149  0.149  0.128
Rb  0.851  0.851  0.872
Cr  0.463  0.463  0.749
Cr  0.537  0.537  0.251
S  0.252  0.748  0.500
S  0.328  0.328  0.781
S  0.672  0.672  0.219
S  0.748  0.252  0.500

Computed properties:
The volume is 28.098 Å³/atom. As for the crystal system: monoclinic. The value obtained for the final energy is -5.44 eV per atom. The density of states at the Fermi level comes out at 0.274 states/eV/atom. The space-group type is C2/m, No. 12. The value obtained for the total magnetization is 0.00 μB per formula unit.

---

14.
Crystalline Sm3HgC at its relaxed geometry. Source: Alexandria, functional PBE.

a = 8.951 Å, b = 3.717 Å, c = 15.152 Å
α = 90.00°, β = 90.00°, γ = 90.00°
Atoms (fractional coordinates):
Sm  0.025  0.250  0.098
Sm  0.179  0.250  0.505
Sm  0.216  0.750  0.302
Sm  0.284  0.250  0.802
Sm  0.321  0.750  0.005
Sm  0.475  0.750  0.598
Sm  0.525  0.250  0.402
Sm  0.679  0.250  0.995
Sm  0.716  0.750  0.198
Sm  0.784  0.250  0.698
Sm  0.821  0.750  0.495
Sm  0.975  0.750  0.902
Hg  0.082  0.750  0.673
Hg  0.418  0.250  0.173
Hg  0.582  0.750  0.827
Hg  0.918  0.250  0.327
C  0.155  0.250  0.947
C  0.345  0.750  0.447
C  0.655  0.250  0.553
C  0.845  0.750  0.053

Computed properties:
The volume is 25.204 Å³/atom. As for the crystal system: orthorhombic. The value obtained for the final energy is -5.04 eV per atom. The density of states at the Fermi level comes out at 0.954 states/eV/atom. The space-group type is Pnma, No. 62. The value obtained for the total magnetization is 0.00 μB per formula unit.

---

15.
Crystalline Ba3TlCo at its relaxed geometry. Source: Alexandria, functional PBE.

a = 5.868 Å, b = 5.868 Å, c = 5.868 Å
α = 90.00°, β = 90.00°, γ = 90.00°
Atoms (fractional coordinates):
Ba  0.000  0.000  0.500
Ba  0.000  0.500  0.000
Ba  0.500  0.000  0.000
Tl  0.500  0.500  0.500
Co  0.000  0.000  0.000

Computed properties:
The volume is 40.401 Å³/atom. As for the crystal system: cubic. The value obtained for the final energy is -2.92 eV per atom. The density of states at the Fermi level comes out at 1.693 states/eV/atom. The space-group type is Pm-3m, No. 221. The value obtained for the total magnetization is 0.07 μB per formula unit.

---

16.
Crystalline Pm4Tm3Tl5 at its relaxed geometry. Source: Alexandria, functional PBE.

a = 6.522 Å, b = 6.522 Å, c = 11.485 Å
α = 91.46°, β = 91.46°, γ = 49.75°
Atoms (fractional coordinates):
Pm  0.092  0.092  0.256
Pm  0.142  0.142  0.940
Pm  0.858  0.858  0.060
Pm  0.908  0.908  0.744
Tm  0.225  0.225  0.625
Tm  0.500  0.500  0.500
Tm  0.775  0.775  0.375
Tl  0.000  0.000  0.500
Tl  0.360  0.360  0.243
Tl  0.416  0.416  0.890
Tl  0.584  0.584  0.110
Tl  0.640  0.640  0.757

Computed properties:
The volume is 31.061 Å³/atom. As for the crystal system: monoclinic. The value obtained for the final energy is -3.80 eV per atom. The density of states at the Fermi level comes out at 0.903 states/eV/atom. The space-group type is C2/m, No. 12. The value obtained for the total magnetization is 0.00 μB per formula unit.